First-principles (PBE) data for Co4SnC2Se after structural relaxation, as listed in OQMD via LeMat-Bulk.

a b c (Å): 3.0353 3.0353 11.7741
angles (deg): 90.00 90.00 120.00
Closest atoms and distances in Å follow each position.
Atoms (fractional coordinates):
Co (0.0000, 0.0000, 0.6775)  3 C 1.98
Co (0.3333, 0.6667, 0.1719)  3 C 1.95
Co (0.0000, 0.0000, 0.3225)  3 C 1.98
Co (0.3333, 0.6667, 0.8281)  3 C 1.95
C (0.6667, 0.3333, 0.2446)  6 Co 1.95-1.98
C (0.6667, 0.3333, 0.7554)  6 Co 1.95-1.98
Sn (0.3333, 0.6667, 0.5000)  6 Co 2.73, 6 Sn 3.04
Se (0.0000, 0.0000, 0.0000)  6 Co 2.68

Output
E   -6.56 eV/atom
Space group   P-6m2 (187)